This record from the Alexandria database describes a relaxed structure of Ac2In2Ga. The functional is PBE. Values from VASP.

```
&SYSTEM
  ibrav = 0, nat = 10, ntyp = 3
/
ATOMIC_SPECIES
In 114.82 In.upf
Ga 69.72 Ga.upf
Ac 227.00 Ac.upf
ATOMIC_POSITIONS crystal
In 0.938 0.697 0.426
In 0.377 0.128 0.118
In 0.062 0.303 0.574
In 0.623 0.872 0.882
Ga 0.545 0.211 0.699
Ga 0.455 0.789 0.301
Ac 0.899 0.299 0.902
Ac 0.292 0.760 0.656
Ac 0.101 0.701 0.098
Ac 0.708 0.240 0.344
CELL_PARAMETERS angstrom
4.789 0.000 0.000
2.394 6.189 -0.123
2.394 0.749 10.804
```

**DOS(E_F)**: 0.606 states/eV per atom
**Energy above the lowest structure with this stoichiometry**: 9.3 meV/atom
**Space group**: C2/m (12)

***

This record from the Alexandria database describes a relaxed structure of AcIn4Ga2. The functional is PBE. Values from VASP.

```
&SYSTEM
  ibrav = 0, nat = 7, ntyp = 3
/
ATOMIC_SPECIES
In 114.82 In.upf
Ga 69.72 Ga.upf
Ac 227.00 Ac.upf
ATOMIC_POSITIONS crystal
In 0.000 0.314 0.628
In 0.500 0.823 0.646
In 0.500 0.177 0.354
In 0.000 0.686 0.372
Ga 0.500 0.578 0.156
Ga 0.500 0.422 0.844
Ac 0.000 0.000 0.000
CELL_PARAMETERS angstrom
4.573 0.000 0.000
0.000 5.001 0.000
0.000 -2.501 8.019
```

**Raw total energy**: -22.47 eV per cell
**DOS(E_F)**: 0.524 states/eV per atom
**Space group**: Cmmm (65)

***

This record from the Alexandria database describes a relaxed structure of Ac4In3Ga5. The functional is PBE. Values from VASP.

```
&SYSTEM
  ibrav = 0, nat = 12, ntyp = 3
/
ATOMIC_SPECIES
Ac 227.00 Ac.upf
In 114.82 In.upf
Ga 69.72 Ga.upf
ATOMIC_POSITIONS crystal
Ac 0.954 0.239 0.853
Ac 0.738 0.255 0.268
Ac 0.046 0.761 0.147
Ac 0.262 0.745 0.732
In 0.000 0.500 0.500
In 0.359 0.899 0.384
In 0.641 0.101 0.616
Ga 0.413 0.075 0.100
Ga 0.721 0.584 0.973
Ga 0.587 0.925 0.900
Ga 0.279 0.416 0.027
Ga 0.500 0.500 0.500
CELL_PARAMETERS angstrom
-3.629 1.901 2.715
-7.026 -2.750 -3.018
-3.421 -8.073 5.526
```

**Raw total energy**: -43.96 eV per cell
**DOS(E_F)**: 0.788 states/eV per atom
**Space group**: C2/m (12)

***

This record from the Alexandria database describes a relaxed structure of Ac5InGa4. The functional is PBE. Values from VASP.

```
&SYSTEM
  ibrav = 0, nat = 10, ntyp = 3
/
ATOMIC_SPECIES
In 114.82 In.upf
Ac 227.00 Ac.upf
Ga 69.72 Ga.upf
ATOMIC_POSITIONS crystal
In 0.000 0.000 0.000
Ac 0.500 0.500 0.305
Ac 0.500 0.500 0.111
Ac 0.500 0.500 0.500
Ac 0.500 0.500 0.695
Ac 0.500 0.500 0.889
Ga 0.000 0.000 0.597
Ga 0.000 0.000 0.793
Ga 0.000 0.000 0.207
Ga 0.000 0.000 0.403
CELL_PARAMETERS angstrom
-2.145 -3.245 0.624
3.029 -1.634 1.917
-6.727 7.765 17.243
```

**Raw total energy**: -39.72 eV per cell
**DOS(E_F)**: 0.893 states/eV per atom
**Space group**: P4/mmm (123)

***

This record from the Alexandria database describes a relaxed structure of Ac3InGa2. The functional is PBE. Values from VASP.

```
&SYSTEM
  ibrav = 0, nat = 12, ntyp = 3
/
ATOMIC_SPECIES
Ac 227.00 Ac.upf
Ga 69.72 Ga.upf
In 114.82 In.upf
ATOMIC_POSITIONS crystal
Ac 0.827 0.077 0.654
Ac 0.173 0.423 0.346
Ac 0.827 0.577 0.654
Ac 0.173 0.923 0.346
Ac 0.500 0.750 0.000
Ac 0.500 0.250 0.000
Ga 0.663 0.164 0.327
Ga 0.664 0.664 0.327
Ga 0.336 0.336 0.673
Ga 0.337 0.836 0.673
In 0.000 0.500 0.000
In 0.000 0.000 0.000
CELL_PARAMETERS angstrom
-4.078 3.888 -0.666
-3.700 -2.776 6.453
8.259 4.855 1.940
```

**DOS(E_F)**: 0.809 states/eV per atom
**Energy above the lowest structure with this stoichiometry**: 0.0 meV/atom
**Space group**: Cmmm (65)

***

This record from the Alexandria database describes a relaxed structure of AcIn2Ga. The functional is PBE. Values from VASP.

```
&SYSTEM
  ibrav = 0, nat = 4, ntyp = 3
/
ATOMIC_SPECIES
In 114.82 In.upf
Ga 69.72 Ga.upf
Ac 227.00 Ac.upf
ATOMIC_POSITIONS crystal
In 0.000 0.000 0.500
In 0.000 0.500 0.000
Ga 0.500 0.000 0.000
Ac 0.500 0.500 0.500
CELL_PARAMETERS angstrom
4.993 0.000 0.000
0.000 4.743 0.000
0.000 0.000 4.743
```

**DOS(E_F)**: 0.408 states/eV per atom
**Energy above the lowest structure with this stoichiometry**: 30.3 meV/atom
**Space group**: P4/mmm (123)